An optimized crystal structure of Rb2TaAgCl6. Source: OQMD, functional PBE.

Cell lengths 7.3211, 7.3211, 7.3211 Å; angles 60.00, 60.00, 60.00 degrees
Each line ends with the local moment (μB).
Element x y z (fractional)
Cl 0.2610 0.7390 0.2610  0.01
Cl 0.7390 0.2610 0.7390  0.01
Cl 0.2610 0.7390 0.7390  0.01
Cl 0.7390 0.2610 0.2610  0.01
Cl 0.7390 0.7390 0.2610  0.00
Cl 0.2610 0.2610 0.7390  0.00
Rb 0.2500 0.2500 0.2500  0.00
Rb 0.7500 0.7500 0.7500  0.00
Ag 0.0000 0.0000 0.0000  0.00
Ta 0.5000 0.5000 0.5000  1.36

energy: -4.04 eV per atom
SG: Fm-3m
size of the total moment: 2.00 Bohr magnetons per cell

An optimized crystal structure of Rb2TlAgCl6. Source: OQMD, functional PBE.

Cell lengths 7.3818, 7.3818, 7.5969 Å; angles 120.31, 120.31, 60.09 degrees
Element x y z (fractional)
Ag 0.0000 0.0000 0.0000
Cl 0.2109 0.7096 0.7045
Cl 0.7096 0.2109 0.7045
Cl 0.2904 0.7891 0.2955
Cl 0.7502 0.7502 0.8242
Cl 0.7891 0.2904 0.2955
Cl 0.2498 0.2498 0.1758
Tl 0.5000 0.5000 0.5000
Rb 0.7500 0.7500 0.2556
Rb 0.2500 0.2500 0.7444

energy: -3.01 eV per atom
SG: C2/m

An optimized crystal structure of Rb2TlAgCl6. Source: OQMD, functional PBE.

Cell lengths 7.4898, 7.4898, 7.4898 Å; angles 60.00, 60.00, 60.00 degrees
Element x y z (fractional)
Cl 0.7501 0.2499 0.7501
Cl 0.2499 0.7501 0.7501
Cl 0.2499 0.2499 0.7501
Cl 0.7501 0.2499 0.2499
Cl 0.7501 0.7501 0.2499
Cl 0.2499 0.7501 0.2499
Tl 0.0000 0.0000 0.0000
Rb 0.7500 0.7500 0.7500
Rb 0.2500 0.2500 0.2500
Ag 0.5000 0.5000 0.5000

energy: -3.00 eV per atom
SG: Fm-3m

An optimized crystal structure of Rb2TlAgCl6. Source: OQMD, functional PBE.

Cell lengths 7.4943, 7.4943, 7.4943 Å; angles 59.93, 59.93, 59.93 degrees
Element x y z (fractional)
Tl 0.5000 0.5000 0.5000
Cl 0.7513 0.7484 0.2498
Cl 0.2498 0.7513 0.7484
Cl 0.2487 0.2516 0.7502
Cl 0.7484 0.2498 0.7513
Cl 0.7502 0.2487 0.2516
Cl 0.2516 0.7502 0.2487
Rb 0.2501 0.2501 0.2501
Rb 0.7499 0.7499 0.7499
Ag 0.0000 0.0000 0.0000

energy: -3.00 eV per atom
SG: R-3

An optimized crystal structure of ReAg2Cl6. Source: OQMD, functional PBE.

Cell lengths 6.6359, 6.6360, 17.0441 Å; angles 90.00, 90.00, 120.01 degrees
Each line ends with the local moment (μB).
Element x y z (fractional)
Re 0.0000 0.0000 0.4999  2.29
Re 0.3331 0.6666 0.1665  2.29
Re 0.6669 0.3335 0.8335  2.29
Ag 0.0000 0.0000 0.7651  0.03
Ag 0.6667 0.3334 0.5682  0.03
Ag 0.0000 0.0000 0.2349  0.03
Ag 0.3333 0.6667 0.4318  0.04
Ag 0.3333 0.6667 0.9016  0.04
Ag 0.6667 0.3333 0.0984  0.04
Cl 0.0417 0.3110 0.5804  0.05
Cl 0.6250 0.0224 0.7530  0.05
Cl 0.0225 0.3975 0.2470  0.05
Cl 0.9357 0.2917 0.9136  0.05
Cl 0.2693 0.9583 0.5804  0.05
Cl 0.9775 0.6025 0.7530  0.05
Cl 0.7083 0.6441 0.9136  0.05
Cl 0.9584 0.6892 0.4197  0.05
Cl 0.6891 0.7307 0.5804  0.05
Cl 0.7309 0.0416 0.4197  0.05
Cl 0.6027 0.6250 0.2471  0.05
Cl 0.2917 0.3559 0.0864  0.05
Cl 0.3750 0.9776 0.2470  0.05
Cl 0.3107 0.2691 0.4197  0.05
Cl 0.6441 0.9358 0.0864  0.05
Cl 0.3973 0.3750 0.7529  0.05
Cl 0.0643 0.7083 0.0864  0.05
Cl 0.3559 0.0642 0.9136  0.05

energy: -3.77 eV per atom
SG: R-3
size of the total moment: 9.01 Bohr magnetons per cell

An optimized crystal structure of ReAg2Cl6. Source: OQMD, functional PBE.

Cell lengths 6.6157, 6.6159, 17.0396 Å; angles 90.00, 90.00, 120.00 degrees
Each line ends with the local moment (μB).
Element x y z (fractional)
Ag 0.3333 0.6667 0.4318  0.04
Ag 0.3334 0.6667 0.9016  0.04
Ag 0.6667 0.3333 0.5683  0.04
Ag 0.6666 0.3333 0.0984  0.04
Ag 0.0000 0.0000 0.2349  0.04
Ag 0.0000 0.0000 0.7651  0.04
Cl 0.7077 0.6449 0.9137  0.05
Cl 0.2923 0.3551 0.0863  0.05
Cl 0.6447 0.9371 0.0863  0.05
Cl 0.6886 0.7296 0.5803  0.05
Cl 0.9590 0.6883 0.4196  0.05
Cl 0.3553 0.0629 0.9137  0.05
Cl 0.0410 0.3114 0.5803  0.05
Cl 0.6257 0.0220 0.7530  0.05
Cl 0.3117 0.2706 0.4196  0.05
Cl 0.9374 0.2923 0.9138  0.05
Cl 0.2704 0.9590 0.5803  0.05
Cl 0.7294 0.0410 0.4196  0.05
Cl 0.6035 0.6257 0.2469  0.05
Cl 0.0627 0.7077 0.0862  0.05
Cl 0.3742 0.9779 0.2470  0.05
Cl 0.9782 0.6038 0.7530  0.05
Cl 0.0219 0.3962 0.2470  0.05
Cl 0.3964 0.3743 0.7531  0.05
Re 0.0000 0.0000 0.5003  2.29
Re 0.3340 0.6670 0.1670  2.29
Re 0.6660 0.3330 0.8331  2.29

energy: -3.76 eV per atom
SG: P-1
size of the total moment: 9.01 Bohr magnetons per cell

An optimized crystal structure of AgSCl6. Source: OQMD, functional PBE.

Cell lengths 6.5626, 6.5626, 6.5626 Å; angles 60.00, 60.00, 60.00 degrees
Element x y z (fractional)
Cl 0.4909 0.0091 0.0091
Cl 0.4909 0.4909 0.0091
Cl 0.0091 0.4909 0.4909
Cl 0.0091 0.4909 0.0091
Cl 0.4909 0.0091 0.4909
Cl 0.0091 0.0091 0.4909
Ag 0.0000 0.0000 0.0000
S 0.2500 0.2500 0.2500

energy: -2.22 eV per atom
SG: F-43m

An optimized crystal structure of AgSbCl6. Source: OQMD, functional PBE.

Cell lengths 6.5925, 6.5925, 6.4375 Å; angles 98.75, 98.75, 121.02 degrees
Element x y z (fractional)
Cl 0.7321 0.7321 0.2724
Cl 0.2679 0.2679 0.7276
Cl 0.5746 0.8747 0.7304
Cl 0.8747 0.5746 0.7304
Cl 0.1253 0.4254 0.2696
Cl 0.4254 0.1253 0.2696
Sb 0.5000 0.5000 0.5000
Ag 0.0000 0.0000 0.0000

energy: -2.87 eV per atom
SG: C2/m

An optimized crystal structure of AgSbCl6. Source: OQMD, functional PBE.

Cell lengths 10.1048, 10.1048, 10.1048 Å; angles 109.47, 109.47, 109.47 degrees
Element x y z (fractional)
Cl 0.2777 0.9625 0.0553
Cl 0.9625 0.0553 0.2777
Cl 0.0928 0.5375 0.8152
Cl 0.7776 0.5553 0.5928
Cl 0.5553 0.5928 0.7776
Cl 0.4072 0.2224 0.4447
Cl 0.6848 0.2223 0.2776
Cl 0.2223 0.2776 0.6848
Cl 0.4625 0.1848 0.9072
Cl 0.2776 0.6848 0.2223
Cl 0.0375 0.9447 0.7223
Cl 0.9447 0.7223 0.0375
Cl 0.8152 0.0928 0.5375
Cl 0.3152 0.7777 0.7224
Cl 0.1848 0.9072 0.4625
Cl 0.5375 0.8152 0.0928
Cl 0.9072 0.4625 0.1848
Cl 0.7223 0.0375 0.9447
Cl 0.7777 0.7224 0.3152
Cl 0.0553 0.2777 0.9625
Cl 0.5928 0.7776 0.5553
Cl 0.4447 0.4072 0.2224
Cl 0.7224 0.3152 0.7777
Cl 0.2224 0.4447 0.4072
Ag 0.0000 0.0000 0.0000
Ag 0.0000 0.5000 0.5000
Ag 0.5000 0.5000 0.0000
Ag 0.5000 0.0000 0.5000
Sb 0.0000 0.5000 0.0000
Sb 0.0000 0.0000 0.5000
Sb 0.5000 0.0000 0.0000
Sb 0.5000 0.5000 0.5000

energy: -2.76 eV per atom
SG: Ia-3

An optimized crystal structure of ScAgCl3. Source: OQMD, functional PBE.

Cell lengths 4.5862, 4.5862, 6.4396 Å; angles 90.00, 90.00, 90.00 degrees
Each line ends with the local moment (μB).
Element x y z (fractional)
Ag 0.5000 0.5000 0.4768  0.01
Cl 0.5000 0.5000 0.1023  0.00
Cl 0.5000 0.0000 0.7119  -0.01
Cl 0.0000 0.5000 0.7119  -0.01
Sc 0.0000 0.0000 0.8970  0.73

energy: -3.91 eV per atom
SG: P4mm
size of the total moment: 1.00 Bohr magnetons per cell

An optimized crystal structure of ScAgCl3. Source: OQMD, functional PBE.

Cell lengths 5.0052, 5.0052, 5.0124 Å; angles 90.00, 90.00, 90.00 degrees
Each line ends with the local moment (μB).
Element x y z (fractional)
Cl 0.5000 0.0000 0.5995  0.00
Cl 0.5000 0.5000 0.0972  0.00
Cl 0.0000 0.5000 0.5995  -0.01
Sc 0.5000 0.5000 0.5957  0.18
Ag 0.0000 0.0000 0.0081  0.01

energy: -4.10 eV per atom
SG: P4mm
size of the total moment: 0.24 Bohr magnetons per cell

An optimized crystal structure of ScAgCl3. Source: OQMD, functional PBE.

Cell lengths 6.9245, 6.9245, 6.9245 Å; angles 63.70, 63.70, 63.70 degrees
Each line ends with the local moment (μB).
Element x y z (fractional)
Ag 0.5000 0.5000 0.5000  0.01
Ag 0.0000 0.0000 0.0000  0.01
Cl 0.7500 0.0847 0.4153  0.00
Cl 0.2500 0.9153 0.5847  0.00
Cl 0.0847 0.4153 0.7500  0.00
Cl 0.9153 0.5847 0.2500  0.00
Cl 0.4153 0.7500 0.0847  0.00
Cl 0.5847 0.2500 0.9153  0.00
Sc 0.2500 0.2500 0.2500  0.64
Sc 0.7500 0.7500 0.7500  0.64

energy: -4.01 eV per atom
SG: R-3c
size of the total moment: 1.92 Bohr magnetons per cell